VASP calculation (GGA-PBE) on InSiIN2 after structural relaxation.

```
5
Lattice="3.880 0.000 0.000 0.000 3.880 0.000 0.000 0.000 5.651" Properties=species:S:1:pos:R:3 pbc="T T T"
In 0.000 0.000 0.000
Si 1.940 1.940 2.826
I 1.940 1.940 0.000
N 0.000 1.940 2.826
N 1.940 0.000 2.826
```

Output
Fermi-level density of states: 0.418 states/eV per atom
energy above the most stable polymorph in this dataset: 0 meV per atom
formation energy without anion corrections: 1.02 eV/atom